A plane-wave DFT calculation with PBE-GGA was carried out for a relaxed structure of LiTePb2O4.

a = 5.3552 Å, b = 5.5547 Å, c = 5.6164 Å
α = 112.15°, β = 111.92°, γ = 100.16°
Fractional coordinates of all 8 atoms:
1 Li 0.0000 0.0000 0.0000
2 Te 0.2534 0.7828 0.4953
3 Pb 0.5182 0.5224 0.9631
4 Pb 0.7731 0.2623 0.4686
5 O 0.0039 0.6488 0.0623
6 O 0.3153 0.3892 0.4406
7 O 0.5896 0.9442 0.9824
8 O 0.9791 0.9439 0.6070

Summary:
For the total energy, the calculation gives -40.70 eV/cell.

***

A plane-wave DFT calculation with PBE-GGA was carried out for a relaxed structure of LiTePb2O5.

a = 6.6202 Å, b = 6.6202 Å, c = 10.9355 Å
α = 90.00°, β = 90.00°, γ = 144.33°
Fractional coordinates of all 18 atoms:
1 Li 0.2314 0.7686 0.5000
2 Li 0.7686 0.2314 0.0000
3 Te 0.0904 0.9096 0.0328
4 Te 0.9096 0.0904 0.5328
5 Pb 0.3708 0.6292 0.2134
6 Pb 0.3769 0.6231 0.8527
7 Pb 0.6231 0.3769 0.3527
8 Pb 0.6292 0.3708 0.7134
9 O 0.0646 0.9354 0.5591
10 O 0.0795 0.9205 0.8615
11 O 0.2121 0.7879 0.3128
12 O 0.2584 0.7416 0.0256
13 O 0.3914 0.6086 0.5715
14 O 0.6086 0.3914 0.0715
15 O 0.7416 0.2584 0.5256
16 O 0.7879 0.2121 0.8128
17 O 0.9205 0.0795 0.3615
18 O 0.9354 0.0646 0.0591

Summary:
For the total energy, the calculation gives -95.58 eV/cell.

***

A plane-wave DFT calculation with PBE-GGA was carried out for a relaxed structure of Li2TePb2O6.

a = 6.1061 Å, b = 6.1061 Å, c = 6.1061 Å
α = 57.77°, β = 57.77°, γ = 57.77°
Fractional coordinates of all 11 atoms:
1 Li 0.0925 0.0925 0.0925
2 Li 0.9075 0.9075 0.9075
3 Te 0.5000 0.5000 0.5000
4 Pb 0.2918 0.2918 0.2918
5 Pb 0.7082 0.7082 0.7082
6 O 0.2694 0.2694 0.7192
7 O 0.2694 0.7192 0.2694
8 O 0.2808 0.7306 0.7306
9 O 0.7192 0.2694 0.2694
10 O 0.7306 0.2808 0.7306
11 O 0.7306 0.7306 0.2808

Summary:
For the total energy, the calculation gives -58.99 eV/cell.

***

A plane-wave DFT calculation with PBE-GGA was carried out for a relaxed structure of LiTePbO6.

a = 5.5025 Å, b = 5.5025 Å, c = 9.0463 Å
α = 90.00°, β = 90.00°, γ = 120.00°
Fractional coordinates of all 18 atoms:
1 Li 0.0000 0.0000 0.0000
2 Li 0.0000 0.0000 0.5000
3 Te 0.3333 0.6667 0.2500
4 Te 0.6667 0.3333 0.7500
5 Pb 0.3333 0.6667 0.7500
6 Pb 0.6667 0.3333 0.2500
7 O 0.0353 0.3717 0.1293
8 O 0.0353 0.6636 0.3707
9 O 0.3364 0.3717 0.3707
10 O 0.3364 0.9647 0.1293
11 O 0.3717 0.0353 0.6293
12 O 0.3717 0.3364 0.8707
13 O 0.6283 0.6636 0.1293
14 O 0.6283 0.9647 0.3707
15 O 0.6636 0.0353 0.8707
16 O 0.6636 0.6283 0.6293
17 O 0.9647 0.3364 0.6293
18 O 0.9647 0.6283 0.8707

Summary:
For the total energy, the calculation gives -93.48 eV/cell.

***

A plane-wave DFT calculation with PBE-GGA was carried out for a relaxed structure of Li2Ti6PbO14.

a = 10.1141 Å, b = 10.1141 Å, c = 11.5867 Å
α = 90.00°, β = 90.00°, γ = 67.51°
Fractional coordinates of all 92 atoms:
1 Li 0.0592 0.5690 0.8771
2 Li 0.0690 0.5592 0.3771
3 Li 0.4310 0.9408 0.8771
4 Li 0.4408 0.9310 0.3771
5 Li 0.5592 0.0690 0.6229
6 Li 0.5690 0.0592 0.1229
7 Li 0.9310 0.4408 0.6229
8 Li 0.9408 0.4310 0.1229
9 Ti 0.0093 0.7766 0.1157
10 Ti 0.0142 0.7681 0.6388
11 Ti 0.2234 0.9907 0.1157
12 Ti 0.2319 0.9858 0.6388
13 Ti 0.2412 0.2412 0.5000
14 Ti 0.2427 0.2573 0.7500
15 Ti 0.2573 0.2427 0.2500
16 Ti 0.2588 0.2588 0.0000
17 Ti 0.2681 0.5142 0.1388
18 Ti 0.2766 0.5093 0.6157
19 Ti 0.4858 0.7319 0.1388
20 Ti 0.4907 0.7234 0.6157
21 Ti 0.5093 0.2766 0.3843
22 Ti 0.5142 0.2681 0.8612
23 Ti 0.7234 0.4907 0.3843
24 Ti 0.7319 0.4858 0.8612
25 Ti 0.7412 0.7412 0.0000
26 Ti 0.7427 0.7573 0.7500
27 Ti 0.7573 0.7427 0.2500
28 Ti 0.7588 0.7588 0.5000
29 Ti 0.7681 0.0142 0.3612
30 Ti 0.7766 0.0093 0.8843
31 Ti 0.9858 0.2319 0.3612
32 Ti 0.9907 0.2234 0.8843
33 Pb 0.1571 0.8429 0.3839
34 Pb 0.3429 0.6571 0.8839
35 Pb 0.6571 0.3429 0.1161
36 Pb 0.8429 0.1571 0.6161
37 O 0.0821 0.9179 0.6230
38 O 0.0888 0.9112 0.1284
39 O 0.1194 0.3478 0.3720
40 O 0.1201 0.3542 0.8778
41 O 0.1301 0.1301 0.5000
42 O 0.1296 0.1358 0.7514
43 O 0.1338 0.1338 0.0000
44 O 0.1358 0.1296 0.2486
45 O 0.1394 0.6440 0.2386
46 O 0.1398 0.6446 0.5160
47 O 0.1440 0.6394 0.7386
48 O 0.1446 0.6398 0.0160
49 O 0.1458 0.3799 0.6222
50 O 0.1522 0.3806 0.1280
51 O 0.3478 0.1194 0.6280
52 O 0.3542 0.1201 0.1222
53 O 0.3554 0.8602 0.5160
54 O 0.3560 0.8606 0.2386
55 O 0.3602 0.8554 0.0160
56 O 0.3606 0.8560 0.7386
57 O 0.3642 0.3704 0.7486
58 O 0.3662 0.3662 0.5000
59 O 0.3704 0.3642 0.2514
60 O 0.3699 0.3699 0.0000
61 O 0.3799 0.1458 0.3778
62 O 0.3806 0.1522 0.8720
63 O 0.4112 0.5888 0.6284
64 O 0.4179 0.5821 0.1230
65 O 0.5821 0.4179 0.8770
66 O 0.5888 0.4112 0.3716
67 O 0.6194 0.8478 0.1280
68 O 0.6201 0.8542 0.6222
69 O 0.6301 0.6301 0.0000
70 O 0.6296 0.6358 0.7486
71 O 0.6338 0.6338 0.5000
72 O 0.6358 0.6296 0.2514
73 O 0.6394 0.1440 0.2614
74 O 0.6398 0.1446 0.9840
75 O 0.6440 0.1394 0.7614
76 O 0.6446 0.1398 0.4840
77 O 0.6458 0.8799 0.8778
78 O 0.6522 0.8806 0.3720
79 O 0.8478 0.6194 0.8720
80 O 0.8542 0.6201 0.3778
81 O 0.8554 0.3602 0.9840
82 O 0.8560 0.3606 0.2614
83 O 0.8602 0.3554 0.4840
84 O 0.8606 0.3560 0.7614
85 O 0.8642 0.8704 0.7514
86 O 0.8662 0.8662 0.0000
87 O 0.8704 0.8642 0.2486
88 O 0.8699 0.8699 0.5000
89 O 0.8799 0.6458 0.1222
90 O 0.8806 0.6522 0.6280
91 O 0.9112 0.0888 0.8716
92 O 0.9179 0.0821 0.3770

Summary:
For the total energy, the calculation gives -753.07 eV/cell.

***

A plane-wave DFT calculation with PBE-GGA was carried out for a relaxed structure of Li2Ti3PbO8.

a = 6.9335 Å, b = 6.9335 Å, c = 6.9335 Å
α = 51.59°, β = 51.59°, γ = 51.59°
Fractional coordinates of all 14 atoms:
1 Li 0.0000 0.0000 0.0000
2 Li 0.4659 0.4659 0.4659
3 Ti 0.0389 0.0389 0.5272
4 Ti 0.0389 0.5272 0.0389
5 Ti 0.5272 0.0389 0.0389
6 Pb 0.6658 0.6658 0.6658
7 O 0.2306 0.7829 0.7829
8 O 0.2618 0.2618 0.2618
9 O 0.3011 0.3011 0.8392
10 O 0.3011 0.8392 0.3011
11 O 0.7829 0.2306 0.7829
12 O 0.7829 0.7829 0.2306
13 O 0.8156 0.8156 0.8156
14 O 0.8392 0.3011 0.3011

Summary:
For the total energy, the calculation gives -106.17 eV/cell.

***

A plane-wave DFT calculation with PBE-GGA was carried out for a relaxed structure of Li2TiPbO4.

a = 7.6520 Å, b = 5.2201 Å, c = 5.4239 Å
α = 90.00°, β = 90.00°, γ = 90.00°
Fractional coordinates of all 16 atoms:
1 Li 0.2465 0.1786 0.0000
2 Li 0.2535 0.8214 0.5000
3 Li 0.7465 0.8214 0.5000
4 Li 0.7535 0.1786 0.0000
5 Ti 0.0000 0.7093 0.9897
6 Ti 0.5000 0.2907 0.4897
7 Pb 0.0000 0.2569 0.5434
8 Pb 0.5000 0.7431 0.0434
9 O 0.0000 0.3534 0.9731
10 O 0.0000 0.8034 0.6613
11 O 0.1955 0.8315 0.1435
12 O 0.3045 0.1685 0.6435
13 O 0.5000 0.1966 0.1613
14 O 0.5000 0.6466 0.4731
15 O 0.6955 0.1685 0.6435
16 O 0.8045 0.8315 0.1435

Summary:
For the total energy, the calculation gives -105.84 eV/cell.

***

A plane-wave DFT calculation with PBE-GGA was carried out for a relaxed structure of Li2TiPbO.

a = 4.1670 Å, b = 4.1670 Å, c = 4.0899 Å
α = 90.00°, β = 90.00°, γ = 90.00°
Fractional coordinates of all 5 atoms:
1 Li 0.0000 0.5000 0.0000
2 Li 0.5000 0.0000 0.0000
3 Ti 0.0000 0.0000 0.5000
4 Pb 0.5000 0.5000 0.5000
5 O 0.0000 0.0000 0.0000

Summary:
For the total energy, the calculation gives -26.12 eV/cell.

***

A plane-wave DFT calculation with PBE-GGA was carried out for a relaxed structure of LiTi2PbO.

a = 4.1281 Å, b = 4.1281 Å, c = 4.4151 Å
α = 90.00°, β = 90.00°, γ = 90.00°
Fractional coordinates of all 5 atoms:
1 Li 0.0000 0.0000 0.0000
2 Ti 0.0000 0.5000 0.5000
3 Ti 0.5000 0.0000 0.5000
4 Pb 0.5000 0.5000 0.0000
5 O 0.0000 0.0000 0.5000

Summary:
For the total energy, the calculation gives -31.77 eV/cell.

***

A plane-wave DFT calculation with PBE-GGA was carried out for a relaxed structure of LiTiPb2O5.

a = 6.9097 Å, b = 6.9097 Å, c = 11.1950 Å
α = 90.00°, β = 90.00°, γ = 153.09°
Fractional coordinates of all 18 atoms:
1 Li 0.0554 0.9446 0.5000
2 Li 0.9446 0.0554 0.0000
3 Ti 0.2963 0.7037 0.0979
4 Ti 0.7037 0.2963 0.5979
5 Pb 0.3617 0.6383 0.3863
6 Pb 0.4175 0.5825 0.7165
7 Pb 0.5825 0.4175 0.2165
8 Pb 0.6383 0.3617 0.8863
9 O 0.0007 0.9993 0.3378
10 O 0.1372 0.8628 0.0679
11 O 0.2027 0.7973 0.4920
12 O 0.2266 0.7734 0.7205
13 O 0.4323 0.5677 0.1019
14 O 0.5677 0.4323 0.6019
15 O 0.7734 0.2266 0.2205
16 O 0.7973 0.2027 0.9920
17 O 0.8628 0.1372 0.5679
18 O 0.9993 0.0007 0.8378

Summary:
For the total energy, the calculation gives -115.32 eV/cell.

***

A plane-wave DFT calculation with PBE-GGA was carried out for a relaxed structure of LiTi2PbO6.

a = 7.1007 Å, b = 7.1007 Å, c = 6.2504 Å
α = 106.39°, β = 106.39°, γ = 95.72°
Fractional coordinates of all 20 atoms:
1 Li 0.1969 0.8031 0.7500
2 Li 0.8031 0.1969 0.2500
3 Ti 0.2720 0.4321 0.3135
4 Ti 0.4321 0.2720 0.8135
5 Ti 0.5679 0.7280 0.1865
6 Ti 0.7280 0.5679 0.6865
7 Pb 0.1044 0.8956 0.2500
8 Pb 0.8956 0.1044 0.7500
9 O 0.0666 0.2017 0.1674
10 O 0.1510 0.6317 0.4118
11 O 0.2017 0.0666 0.6674
12 O 0.3390 0.4324 0.0427
13 O 0.3683 0.8490 0.0882
14 O 0.4324 0.3390 0.5427
15 O 0.5676 0.6610 0.4573
16 O 0.6317 0.1510 0.9118
17 O 0.6610 0.5676 0.9573
18 O 0.7983 0.9334 0.3326
19 O 0.8490 0.3683 0.5882
20 O 0.9334 0.7983 0.8326

Summary:
For the total energy, the calculation gives -149.11 eV/cell.

***

A plane-wave DFT calculation with PBE-GGA was carried out for a relaxed structure of LiTlPb2O.

a = 5.7811 Å, b = 5.7811 Å, c = 5.0244 Å
α = 90.00°, β = 90.00°, γ = 90.00°
Fractional coordinates of all 5 atoms:
1 Li 0.0000 0.0000 0.0000
2 Tl 0.0000 0.0000 0.5000
3 Pb 0.0000 0.5000 0.5000
4 Pb 0.5000 0.0000 0.5000
5 O 0.5000 0.5000 0.0000

Summary:
For the total energy, the calculation gives -13.00 eV/cell.

***

no.,formation energy without anion corrections (eV per atom)
1,-1.049
2,-1.170
3,-1.350
4,-0.914
5,-2.780
6,-2.520
7,-2.207
8,-1.146
9,-1.080
10,-1.738
11,-2.340
12,0.730